# 1
A plane-wave DFT calculation with GGA-PBE was carried out for a relaxed structure of CaNiSn3.

The structure belongs to space group C2/m (No. 12); the cell edges are 18.257, 4.306 and 6.817 Å and the angles 90.00°, 110.97° and 90.00°. The distinct sites, in fractional coordinates, are Ca at (0.088, 0.000, 0.352), Ni at (0.201, 0.500, 0.711), Sn at (0.056, 0.500, 0.735), Sn at (0.174, 0.000, 0.923) and Sn at (0.213, 0.500, 0.330).

The calculation puts the calculated total energy at -4.26 eV per atom.

***

# 2
A plane-wave DFT calculation with GGA-PBE was carried out for a relaxed structure of BaYMo.

The structure belongs to space group P3m1 (No. 156); the cell edges are 3.6363, 3.6363 and 8.0577 Å and the angles 90.00°, 90.00° and 120.00°. The distinct sites, in fractional coordinates, are Ba at (0.0000, 0.0000, 0.0000), Y at (0.3333, 0.6667, 0.5439) and Mo at (0.6667, 0.3333, 0.2991).

Its excess energy over the best structure of this formula in the dataset is 0.148 eV/atom. The calculation puts the calculated total energy at -5.52 eV per atom.

***

# 3
A plane-wave DFT calculation with GGA-PBE was carried out for a relaxed structure of Pa3TiN.

The structure belongs to space group Pm-3m (No. 221); the cell edges are 4.729, 4.729 and 4.729 Å and the angles 90.00°, 90.00° and 90.00°. The distinct sites, in fractional coordinates, are Pa at (0.000, 0.000, 0.500), Ti at (0.500, 0.500, 0.500) and N at (0.000, 0.000, 0.000).

The calculation puts the calculated total energy at -9.38 eV per atom.

***

# 4
A plane-wave DFT calculation with GGA-PBE was carried out for a relaxed structure of CaMg2Sb.

The structure belongs to space group P4/mmm (No. 123); the cell edges are 4.101, 4.101 and 6.438 Å and the angles 90.00°, 90.00° and 90.00°. The distinct sites, in fractional coordinates, are Ca at (0.000, 0.000, 0.000), Mg at (0.500, 0.500, 0.276) and Sb at (0.000, 0.000, 0.500).

Its excess energy over the best structure of this formula in the dataset is 0.215 eV/atom. The calculation puts the calculated total energy at -2.53 eV per atom.

***

# 5
A plane-wave DFT calculation with GGA-PBE was carried out for a relaxed structure of Sr3TbHg4.

The structure belongs to space group P4/mmm (No. 123); the cell edges are 3.901, 3.901 and 15.959 Å and the angles 90.00°, 90.00° and 90.00°. The distinct sites, in fractional coordinates, are Sr at (0.000, 0.000, 0.000), Sr at (0.000, 0.000, 0.259), Tb at (0.000, 0.000, 0.500), Hg at (0.500, 0.500, 0.130) and Hg at (0.500, 0.500, 0.393).

The calculation puts the calculated total energy at -1.87 eV per atom.

***

# 6
A plane-wave DFT calculation with GGA-PBE was carried out for a relaxed structure of RbNbTeIr.

The structure belongs to space group Cm (No. 8); the cell edges are 6.836, 3.964 and 8.565 Å and the angles 90.00°, 90.12° and 90.00°. The distinct sites, in fractional coordinates, are Rb at (0.000, 0.000, 0.000), Nb at (0.499, 0.500, 0.459), Te at (0.333, 0.000, 0.671) and Ir at (0.164, 0.500, 0.329).

Its excess energy over the best structure of this formula in the dataset is 0.033 eV/atom. The calculation puts the calculated total energy at -5.83 eV per atom.

***

# 7
A plane-wave DFT calculation with GGA-PBE was carried out for a relaxed structure of Rb2UNbO6.

The structure belongs to space group Fm-3m (No. 225); the cell edges are 8.461, 8.461 and 8.461 Å and the angles 90.00°, 90.00° and 90.00°. The distinct sites, in fractional coordinates, are Rb at (0.250, 0.250, 0.250), U at (0.000, 0.000, 0.000), Nb at (0.000, 0.000, 0.500) and O at (0.000, 0.000, 0.259).

The calculation puts the calculated total energy at -7.91 eV per atom.

***

# 8
A plane-wave DFT calculation with GGA-PBE was carried out for a relaxed structure of CaNi3.

The structure belongs to space group Pnma (No. 62); the cell edges are 5.216, 8.333 and 5.371 Å and the angles 90.00°, 90.00° and 90.00°. The distinct sites, in fractional coordinates, are Ca at (0.054, 0.250, 0.074), Ni at (0.087, 0.250, 0.591) and Ni at (0.172, 0.516, 0.336).

The calculation puts the calculated total energy at -4.71 eV per atom.

***

# 9
A plane-wave DFT calculation with GGA-PBE was carried out for a relaxed structure of RhPbN.

The structure belongs to space group C2/m (No. 12); the cell edges are 4.841, 4.841 and 12.597 Å and the angles 90.00°, 100.41° and 90.00°. The distinct sites, in fractional coordinates, are Rh at (0.222, 0.000, 0.441), Pb at (0.165, 0.500, 0.319) and N at (0.028, 0.000, 0.045).

The calculation puts the calculated total energy at -6.34 eV per atom.

***

# 10
A plane-wave DFT calculation with GGA-PBE was carried out for a relaxed structure of BaPmCuSe3.

The structure belongs to space group Cmcm (No. 63); the cell edges are 4.243, 14.172 and 10.937 Å and the angles 90.00°, 90.00° and 90.00°. The distinct sites, in fractional coordinates, are Ba at (0.000, 0.247, 0.250), Pm at (0.000, 0.500, 0.000), Cu at (0.000, 0.031, 0.750), Se at (0.000, 0.136, 0.568) and Se at (0.000, 0.430, 0.750).

The calculation puts the calculated total energy at -5.12 eV per atom.

***

# 11
A plane-wave DFT calculation with GGA-PBE was carried out for a relaxed structure of Dy2SnSb.

The structure belongs to space group C2/m (No. 12); the cell edges are 7.327, 4.235 and 8.059 Å and the angles 90.00°, 107.70° and 90.00°. The distinct sites, in fractional coordinates, are Dy at (0.247, 0.000, 0.241), Sn at (0.000, 0.000, 0.500) and Sb at (0.000, 0.500, 0.000).

Its excess energy over the best structure of this formula in the dataset is 0.094 eV/atom. The calculation puts the calculated total energy at -5.16 eV per atom.

***

# 12
A plane-wave DFT calculation with GGA-PBE was carried out for a relaxed structure of CdAg2Hg.

The structure belongs to space group P2/m (No. 10); the cell edges are 3.096, 4.142 and 6.179 Å and the angles 90.00°, 92.23° and 90.00°. The distinct sites, in fractional coordinates, are Cd at (0.000, 0.000, 0.000), Ag at (0.493, 0.500, 0.756) and Hg at (0.000, 0.000, 0.500).

Its excess energy over the best structure of this formula in the dataset is 0.008 eV/atom. The calculation puts the calculated total energy at -1.72 eV per atom.

***

# 13
A plane-wave DFT calculation with GGA-PBE was carried out for a relaxed structure of CaNdRhAu.

The structure belongs to space group Amm2 (No. 38); the cell edges are 4.309, 3.981 and 11.318 Å and the angles 90.00°, 90.00° and 90.00°. The distinct sites, in fractional coordinates, are Ca at (0.000, 0.000, 0.000), Nd at (0.500, 0.000, 0.717), Rh at (0.000, 0.000, 0.270) and Au at (0.500, 0.000, 0.437).

Its excess energy over the best structure of this formula in the dataset is 0.000 eV/atom. The calculation puts the calculated total energy at -5.05 eV per atom.

***

# 14
A plane-wave DFT calculation with GGA-PBE was carried out for a relaxed structure of TcRhO.

The structure belongs to space group P2_1/m (No. 11); the cell edges are 6.386, 3.710 and 7.498 Å and the angles 90.00°, 98.34° and 90.00°. The distinct sites, in fractional coordinates, are Tc at (0.025, 0.250, 0.395), Tc at (0.400, 0.250, 0.226), Rh at (0.283, 0.250, 0.708), Rh at (0.332, 0.750, 0.461), O at (0.116, 0.250, 0.152) and O at (0.352, 0.750, 0.879).

The calculation puts the calculated total energy at -7.90 eV per atom.

***

# 15
A plane-wave DFT calculation with GGA-PBE was carried out for a relaxed structure of LaIN2.

The structure belongs to space group R-3m (No. 166, hexagonal axes); the cell edges are 3.9446, 3.9446 and 19.5770 Å and the angles 90.00°, 90.00° and 120.00°. The distinct sites, in fractional coordinates, are La at (0.0000, 0.0000, 0.0000), I at (0.0000, 0.0000, 0.5000) and N at (0.0000, 0.0000, 0.3900).

Its excess energy over the best structure of this formula in the dataset is 0.000 eV/atom. The calculation puts the calculated total energy at -5.73 eV per atom.

***

# 16
A plane-wave DFT calculation with GGA-PBE was carried out for a relaxed structure of Li2Sm4C.

The structure belongs to space group I4/mmm (No. 139); the cell edges are 5.087, 5.087 and 15.022 Å and the angles 90.00°, 90.00° and 90.00°. The distinct sites, in fractional coordinates, are Li at (0.000, 0.000, 0.135), Sm at (0.000, 0.000, 0.335), Sm at (0.000, 0.500, 0.000) and C at (0.000, 0.000, 0.500).

The calculation puts the calculated total energy at -4.42 eV per atom.

***

# 17
A plane-wave DFT calculation with GGA-PBE was carried out for a relaxed structure of KMgFe2.

The structure belongs to space group P4/mmm (No. 123); the cell edges are 5.351, 5.351 and 2.817 Å and the angles 90.00°, 90.00° and 90.00°. The distinct sites, in fractional coordinates, are K at (0.000, 0.000, 0.000), Mg at (0.500, 0.500, 0.000) and Fe at (0.000, 0.500, 0.500).

Its excess energy over the best structure of this formula in the dataset is 0.654 eV/atom. The calculation puts the calculated total energy at -3.77 eV per atom.

***

# 18
A plane-wave DFT calculation with GGA-PBE was carried out for a relaxed structure of DyTaGe2.

The structure belongs to space group R-3m (No. 166, hexagonal axes); the cell edges are 3.8740, 3.8740 and 19.4029 Å and the angles 90.00°, 90.00° and 120.00°. The distinct sites, in fractional coordinates, are Dy at (0.0000, 0.0000, 0.0000), Ta at (0.0000, 0.0000, 0.5000) and Ge at (0.0000, 0.0000, 0.2408).

The calculation puts the calculated total energy at -6.85 eV per atom.

***

# 19
A plane-wave DFT calculation with GGA-PBE was carried out for a relaxed structure of LaTaI2O.

The structure belongs to space group P4/mmm (No. 123); the cell edges are 6.438, 6.438 and 4.238 Å and the angles 90.00°, 90.00° and 90.00°. The distinct sites, in fractional coordinates, are La at (0.000, 0.000, 0.000), Ta at (0.500, 0.500, 0.500), I at (0.000, 0.500, 0.000) and O at (0.000, 0.000, 0.500).

Its excess energy over the best structure of this formula in the dataset is 0.565 eV/atom. The calculation puts the calculated total energy at -5.21 eV per atom.

***

# 20
A plane-wave DFT calculation with GGA-PBE was carried out for a relaxed structure of Nd4Te2PBr.

The structure belongs to space group P2/m (No. 10); the cell edges are 7.609, 4.273 and 7.662 Å and the angles 90.00°, 108.32° and 90.00°. The distinct sites, in fractional coordinates, are Nd at (0.214, 0.000, 0.217), Nd at (0.226, 0.500, 0.772), Te at (0.500, 0.000, 0.000), Te at (0.500, 0.500, 0.500), P at (0.000, 0.500, 0.000) and Br at (0.000, 0.000, 0.500).

The calculation puts the calculated total energy at -5.49 eV per atom.

***

# 21
A plane-wave DFT calculation with GGA-PBE was carried out for a relaxed structure of AlTcH3.

The structure belongs to space group Pm-3m (No. 221); the cell edges are 3.447, 3.447 and 3.447 Å and the angles 90.00°, 90.00° and 90.00°. The distinct sites, in fractional coordinates, are Al at (0.000, 0.000, 0.000), Tc at (0.500, 0.500, 0.500) and H at (0.000, 0.500, 0.500).

Its excess energy over the best structure of this formula in the dataset is 0.170 eV/atom. The calculation puts the calculated total energy at -4.63 eV per atom.

***

Calculated magnetic moment (Bohr magnetons per cell), listed in the same order as above: 0.0; 0.0; 0.0; 0.0; 0.0; 0.0; 4.1; 2.8; 0.0; 0.0; 0.0; 0.0; 0.0; 0.0; 2.5; 0.0; 5.3; 0.0; 3.8; 0.0; 0.0